Material: Li2FeF4
Method: DFT, GGA+U
State: relaxed

Geometry as extended XYZ:
```
7
Lattice="-2.301 -0.190 4.887 -4.102 3.431 0.781 1.351 -3.616 -3.783" Properties=species:S:1:pos:R:3 pbc="T T T"
Li -2.976 0.718 -0.084
Li -2.075 -1.093 1.969
Fe 0.000 0.000 0.000
F -4.914 2.488 4.351
F -1.488 0.753 1.318
F -1.375 -0.092 -1.501
F -0.475 -1.903 0.552
```

Results
offset from the most stable computed form = 186 meV/atom
total magnetization = 0.57 μB per atom
symmetry = I4/mmm (139)
E = -34.76 eV/f.u.